(1)
A plane-wave DFT calculation with PBE was carried out for a geometry-optimized Ti2Fe2Bi structure.

Lattice parameters (Å, degrees): 7.0733 7.0733 3.2501 90.00 90.00 90.00
Element x y z (fractional)
1 Ti 0.1681 0.3319 0.0000
2 Ti 0.3319 0.8319 0.0000
3 Ti 0.6681 0.1681 0.0000
4 Ti 0.8319 0.6681 0.0000
5 Fe 0.1136 0.6136 0.5000
6 Fe 0.3864 0.1136 0.5000
7 Fe 0.6136 0.8864 0.5000
8 Fe 0.8864 0.3864 0.5000
9 Bi 0.0000 0.0000 0.5000
10 Bi 0.5000 0.5000 0.5000

Formation enthalpy at 0 K   10 meV per atom
Calculated volume   16.3 Å³/atom
Total magnetic moment   2.93 μB/f.u.
Uncorrected energy   -0.269 hartree per atom

---

(2)
A plane-wave DFT calculation with PBE was carried out for a geometry-optimized Na2Hg4Bi structure.

Lattice parameters (Å, degrees): 6.7666 6.7666 10.8966 90.00 90.00 54.10
Element x y z (fractional)
1 Na 0.1548 0.1548 0.0000
2 Na 0.3452 0.3452 0.5000
3 Na 0.6548 0.6548 0.5000
4 Na 0.8452 0.8452 0.0000
5 Hg 0.0076 0.4924 0.7500
6 Hg 0.1828 0.8172 0.7716
7 Hg 0.3172 0.6828 0.2716
8 Hg 0.4924 0.0076 0.2500
9 Hg 0.5076 0.9924 0.7500
10 Hg 0.6828 0.3172 0.7284
11 Hg 0.8172 0.1828 0.2284
12 Hg 0.9924 0.5076 0.2500
13 Bi 0.0000 0.0000 0.5000
14 Bi 0.5000 0.5000 0.0000

Energy above the lowest structure with this stoichiometry   0.0 meV per atom
Formation enthalpy at 0 K   -142 meV per atom
Calculated volume   28.9 Å³/atom
Total magnetic moment   0.00 μB/f.u.
Uncorrected energy   -0.046 hartree per atom